This record from the Alexandria database describes a geometry-optimized Mn2Tl3CuF9 structure. The functional is PBE+U.

VASP energy (eV/cell): -74.72
Crystal system: trigonal

Cell: 6.0100 6.0100 7.3737 Å, 90.00 90.00 120.00°
Space group P-3m1 (No. 164)
Inequivalent atoms, fractional coordinates:
Mn1 0.3333 0.6667 0.1699 x2
Tl1 0.0000 0.0000 0.0000 x1
Tl2 0.3333 0.6667 0.6595 x2
Cu1 0.0000 0.0000 0.5000 x1
F1 0.0000 0.5000 0.0000 x3
F2 0.1659 0.3318 0.3349 x6